[1]
Ti2Al3Ga3: optimized geometry, PBE-GGA.

## Properties
- theoretical density (Mg/m³) = 5.11
- formation enthalpy at 0 K (kJ/mol of atoms) = -34
- calculated total energy (eV per atom) = -4.864

POSCAR file:
```
Ti2Al3Ga3
1.0
3.956 0.000 0.000
0.000 3.983 0.000
0.000 0.000 7.962
Ti Al Ga
2 3 3
Cartesian
0.000 0.000 1.964
0.000 0.000 5.999
0.000 1.991 0.000
0.000 1.991 3.981
1.978 0.000 3.981
1.978 0.000 0.000
1.978 1.991 2.032
1.978 1.991 5.930
```

[2]
Ti5Al2Ga: optimized geometry, PBE-GGA.

## Properties
- E above lowest polymorph (eV/atom) = 0.082
- theoretical density (Mg/m³) = 4.52
- formation enthalpy at 0 K (kJ/mol of atoms) = -27
- calculated total energy (eV per atom) = -6.524

POSCAR file:
```
Ti5Al2Ga
1.0
-3.492 3.492 5.468
3.492 -3.492 5.468
3.492 3.492 -5.468
Ti Al Ga
10 4 2
Cartesian
0.000 0.000 0.000
2.393 -1.099 1.752
4.592 -1.099 3.716
4.592 1.099 1.752
2.393 1.099 3.716
0.000 0.000 5.468
1.099 2.393 1.752
-1.099 2.393 3.716
-1.099 4.592 1.752
1.099 4.592 3.716
2.529 0.964 0.000
2.529 -0.964 5.468
0.964 4.456 0.000
0.964 2.529 5.468
0.000 0.000 2.734
0.000 0.000 8.202
```

[3]
Ti2AlGa3: optimized geometry, PBE-GGA.

## Properties
- E above lowest polymorph (eV/atom) = 0.000
- theoretical density (Mg/m³) = 5.83
- formation enthalpy at 0 K (kJ/mol of atoms) = -42
- calculated total energy (eV per atom) = -5.205

POSCAR file:
```
Ti2AlGa3
1.0
1.927 -6.135 0.000
1.927 6.135 0.000
0.000 0.000 4.001
Ti Al Ga
2 1 3
Cartesian
1.927 4.245 0.000
1.927 -4.245 0.000
0.000 0.000 2.001
1.927 2.147 2.001
1.927 0.000 0.000
1.927 -2.147 2.001
```

[4]
Ti2Al4Ga: optimized geometry, PBE-GGA.

## Properties
- E above lowest polymorph (eV/atom) = 0.000
- theoretical density (Mg/m³) = 3.86
- formation enthalpy at 0 K (kJ/mol of atoms) = -18
- calculated total energy (eV per atom) = -5.010

POSCAR file:
```
Ti2Al4Ga
1.0
5.233 0.000 0.000
2.319 6.424 0.000
0.915 0.102 6.995
Ti Al Ga
4 8 2
Cartesian
0.000 0.000 0.000
1.277 2.816 0.935
2.567 2.489 3.512
3.888 2.655 0.966
2.660 4.869 2.143
3.640 3.972 5.706
2.494 0.442 1.704
3.534 1.239 6.077
5.015 4.934 0.010
5.188 3.788 3.218
5.989 2.494 5.507
5.199 1.101 2.758
4.402 6.307 4.363
7.058 5.490 4.586
```

[5]
Ti8Al2Ga3: optimized geometry, PBE-GGA.

## Properties
- theoretical density (Mg/m³) = 4.68
- formation enthalpy at 0 K (kJ/mol of atoms) = -1
- calculated total energy (eV per atom) = -6.145

POSCAR file:
```
Ti8Al2Ga3
1.0
7.845 -3.263 0.000
7.845 3.263 0.000
-0.004 0.000 4.480
Ti Al Ga
8 2 3
Cartesian
6.105 1.911 4.478
2.682 0.000 2.243
9.582 1.911 0.002
6.042 0.000 2.241
9.644 0.000 2.238
6.105 -1.911 4.478
13.005 0.000 2.236
9.582 -1.911 0.002
4.182 0.000 0.005
11.505 0.000 4.475
7.843 2.015 2.240
7.845 0.000 0.000
7.843 -2.015 2.240
```

[6]
Ti5Al2Ga5: optimized geometry, PBE-GGA.

## Properties
- theoretical density (Mg/m³) = 5.21
- formation enthalpy at 0 K (kJ/mol of atoms) = -25
- calculated total energy (eV per atom) = -5.430

POSCAR file:
```
Ti5Al2Ga5
1.0
4.808 -2.084 0.000
4.808 2.084 0.000
-1.845 0.000 10.210
Ti Al Ga
5 2 5
Cartesian
0.000 0.000 0.000
0.642 0.000 5.436
0.990 0.000 8.920
6.780 0.000 1.290
7.129 0.000 4.774
-1.313 0.000 7.358
9.084 0.000 2.852
1.997 0.000 3.060
3.790 0.000 1.180
3.885 0.000 5.105
3.980 0.000 9.030
5.773 0.000 7.150
```

[7]
Ti6Al3Ga: optimized geometry, PBE-GGA.

## Properties
- E above lowest polymorph (eV/atom) = 0.000
- theoretical density (Mg/m³) = 4.45
- formation enthalpy at 0 K (kJ/mol of atoms) = -31
- calculated total energy (eV per atom) = -6.488

POSCAR file:
```
Ti6Al3Ga
1.0
7.651 0.000 0.000
0.000 4.622 0.000
-3.625 0.000 9.244
Ti Al Ga
12 6 2
Cartesian
-0.585 1.155 1.581
-2.326 1.155 6.114
-0.746 3.466 5.876
-1.903 1.155 8.973
1.390 3.466 3.993
0.400 1.155 7.130
3.627 3.466 2.115
2.636 1.155 5.251
5.929 3.466 0.271
4.772 1.155 3.368
6.352 3.466 3.130
4.611 3.466 7.664
0.937 3.466 1.263
-0.159 1.155 4.345
2.040 1.155 2.501
1.986 3.466 6.743
4.185 3.466 4.899
3.089 1.155 7.982
-0.360 3.466 8.582
4.386 1.155 0.662
```

[8]
Ti3AlGa2: optimized geometry, PBE-GGA.

## Properties
- E above lowest polymorph (eV/atom) = 0.000
- theoretical density (Mg/m³) = 5.34
- formation enthalpy at 0 K (kJ/mol of atoms) = -40
- calculated total energy (eV per atom) = -5.999

POSCAR file:
```
Ti3AlGa2
1.0
6.981 -2.700 0.000
6.981 2.700 0.000
-1.112 0.000 5.113
Ti Al Ga
6 2 4
Cartesian
6.148 2.018 3.835
4.169 0.671 2.160
3.613 -0.671 4.717
9.237 0.671 0.397
8.682 -0.671 2.953
6.703 -2.018 1.278
6.703 0.659 1.278
6.148 -0.659 3.835
2.243 0.668 0.256
1.688 -0.668 2.813
11.163 0.668 2.301
10.607 -0.668 4.858
```

[9]
Ti6Al2Ga: optimized geometry, PBE-GGA.

## Properties
- E above lowest polymorph (eV/atom) = 0.000
- theoretical density (Mg/m³) = 4.57
- formation enthalpy at 0 K (kJ/mol of atoms) = -13
- calculated total energy (eV per atom) = -6.563

POSCAR file:
```
Ti6Al2Ga
1.0
-1.366 3.912 6.994
1.366 -3.912 6.994
1.366 3.912 -6.994
Ti Al Ga
6 2 1
Cartesian
1.366 -1.420 4.620
0.000 1.362 0.000
0.000 2.491 2.374
1.366 1.420 4.620
0.000 6.461 0.000
0.000 5.332 2.374
1.366 0.000 2.110
0.000 3.912 4.884
0.000 0.000 6.994
```

[10]
Ti2Al7Ga2: optimized geometry, PBE-GGA.

## Properties
- theoretical density (Mg/m³) = 3.67
- formation enthalpy at 0 K (kJ/mol of atoms) = -4
- calculated total energy (eV per atom) = -4.411

POSCAR file:
```
Ti2Al7Ga2
1.0
4.040 -4.894 0.000
4.040 4.894 0.000
-2.515 0.000 4.858
Ti Al Ga
2 7 2
Cartesian
1.414 0.000 0.018
4.151 0.000 4.840
0.513 2.352 3.885
0.064 0.000 2.362
5.051 2.352 0.973
4.040 0.000 0.000
0.513 -2.352 3.885
5.500 0.000 2.496
5.051 -2.352 0.973
2.782 1.279 2.429
2.782 -1.279 2.429
```

[11]
TiAl3Ga6: optimized geometry, PBE-GGA.

## Properties
- theoretical density (Mg/m³) = 4.94
- formation enthalpy at 0 K (kJ/mol of atoms) = -5
- calculated total energy (eV per atom) = -3.781

POSCAR file:
```
TiAl3Ga6
1.0
5.579 3.221 3.411
-5.579 3.221 3.411
0.000 -6.442 3.411
Ti Al Ga
2 6 12
Cartesian
0.000 0.000 0.000
0.000 0.000 5.117
-1.556 -0.321 2.293
1.056 -1.187 2.293
0.500 1.508 2.293
-0.500 -1.508 7.941
-1.056 1.187 7.941
1.556 0.321 7.941
-1.806 -4.513 4.127
-4.811 -0.693 6.107
-2.559 -0.629 4.647
-3.006 3.820 4.127
-0.735 -2.530 5.587
-1.824 1.902 5.587
1.824 -1.902 4.647
0.735 2.530 4.647
3.006 -3.820 6.107
2.559 0.629 5.587
4.811 0.693 4.127
1.806 4.513 6.107
```

[12]
Ti4AlGa: optimized geometry, PBE-GGA.

## Properties
- E above lowest polymorph (eV/atom) = 0.000
- theoretical density (Mg/m³) = 4.86
- formation enthalpy at 0 K (kJ/mol of atoms) = -31
- calculated total energy (eV per atom) = -6.714

POSCAR file:
```
Ti4AlGa
1.0
4.685 -1.865 0.000
4.685 1.865 0.000
-1.879 0.000 5.631
Ti Al Ga
4 1 1
Cartesian
0.915 0.000 1.867
-0.025 0.000 4.691
7.516 0.000 0.940
6.576 0.000 3.763
3.745 0.000 2.815
4.685 0.000 0.000
```